# 1
A plane-wave DFT calculation with GGA-PBE was carried out for a geometry-optimized Y4ErAu2 structure.

Values from the calculation:
DFT formation energy	-25	kJ/mol of atoms
total moment	0.0001	μB/atom

Lattice parameters (Å, degrees): 10.165 10.165 10.165 28.55 28.55 28.55
Positions (direct):
Y1 0.103 0.103 0.103
Y2 0.298 0.298 0.298
Y3 0.702 0.702 0.702
Y4 0.897 0.897 0.897
Er1 0.500 0.500 0.500
Au1 0.400 0.400 0.400
Au2 0.600 0.600 0.600

***

# 2
A plane-wave DFT calculation with GGA-PBE was carried out for a geometry-optimized Y2ErAu4 structure.

Values from the calculation:
DFT formation energy	-68	kJ/mol of atoms
total moment	0.0000	μB/atom

Lattice parameters (Å, degrees): 7.423 7.423 7.423 139.41 139.41 58.75
Positions (direct):
Y1 0.227 0.227 0.000
Y2 0.773 0.773 0.000
Er1 0.500 0.500 0.000
Au1 0.119 0.619 0.500
Au2 0.381 0.881 0.500
Au3 0.619 0.119 0.500
Au4 0.881 0.381 0.500

***

| no. | VASP energy (eV/atom) |
| --- | --- |
| 1 | -5.544 |
| 2 | -5.080 |